No. 1
Computed, not measured: a crystal of Co2NiOs relaxed with PBEsol at the SCAN level of DFT.

abc: 4.8955 4.8955 2.4741
angles: 103.02 103.02 118.81
Closest atoms and distances in Å follow each position.
Positions (direct):
Co  0.0000  0.5000  0.0000  6 Co 2.47-2.62, 2 Os 2.48, 2 Ni 2.48
Co  0.5000  0.0000  0.0000  6 Co 2.47-2.62, 2 Os 2.48, 2 Ni 2.48
Ni  0.0000  0.0000  0.5000  2 Ni 2.47, 4 Co 2.48, 4 Os 2.49-2.62
Os  0.5000  0.5000  0.5000  2 Os 2.47, 4 Co 2.48, 4 Ni 2.49-2.62

Properties
The formation energy is 0.8 eV/f.u. The value obtained for the density of states at the Fermi level is 2.59 states/eV per cell.



No. 2
Computed, not measured: a crystal of ZrScCu relaxed with PBEsol at the SCAN level of DFT.

abc: 6.0678 6.0678 6.0678
angles: 149.96 149.96 43.00
Closest atoms and distances in Å follow each position.
Positions (direct):
Zr  0.0000  0.0000  0.0000  4 Cu 2.82, 4 Sc 3.14, 4 Zr 3.14
Sc  0.3038  0.3038  0.0000  4 Cu 2.80
Cu  0.6533  0.6533  0.0000  4 Sc 2.80, 4 Zr 2.82

Properties
The formation energy is -0.4 eV/f.u. The value obtained for the density of states at the Fermi level is 3.50 states/eV per cell.



No. 3
Computed, not measured: a crystal of AsO2 relaxed with PBEsol at the SCAN level of DFT.

abc: 8.5796 5.3085 7.1882
angles: 90.00 90.00 90.00
Closest atoms and distances in Å follow each position.
Positions (direct):
As  0.0705  0.2500  0.1623  4 O 1.66-1.74
As  0.2278  0.7500  0.2871  3 O 1.83-1.86
As  0.2722  0.2500  0.7871  3 O 1.83-1.86
As  0.4295  0.7500  0.6623  4 O 1.66-1.74
As  0.5705  0.2500  0.3377  4 O 1.66-1.74
As  0.7278  0.7500  0.2129  3 O 1.83-1.86
As  0.7722  0.2500  0.7129  3 O 1.83-1.86
As  0.9295  0.7500  0.8377  4 O 1.66-1.74
O  0.0814  0.5034  0.3159  2 As 1.74-1.83
O  0.0814  0.9966  0.3159  2 As 1.74-1.83
O  0.0978  0.7500  0.9512  1 As 1.66
O  0.2482  0.2500  0.0449  2 As 1.74-1.86
O  0.2518  0.7500  0.5449  2 As 1.74-1.86
O  0.4022  0.2500  0.4512  1 As 1.66
O  0.4186  0.0034  0.8159  2 As 1.74-1.83
O  0.4186  0.4966  0.8159  2 As 1.74-1.83
O  0.5814  0.5034  0.1841  2 As 1.74-1.83
O  0.5814  0.9966  0.1841  2 As 1.74-1.83
O  0.5978  0.7500  0.5488  1 As 1.66
O  0.7482  0.2500  0.4551  2 As 1.74-1.86
O  0.7518  0.7500  0.9551  2 As 1.74-1.86
O  0.9022  0.2500  0.0488  1 As 1.66
O  0.9186  0.0034  0.6841  2 As 1.74-1.83
O  0.9186  0.4966  0.6841  2 As 1.74-1.83

Properties
As for the uncorrected formation energy: -1242.0 meV per atom. The value obtained for the density of states at the Fermi level is 0.00 states/eV per cell.



No. 4
Computed, not measured: a crystal of La2TlAs relaxed with PBEsol at the SCAN level of DFT.

abc: 3.8573 3.8568 7.2583
angles: 90.00 90.08 90.00
Closest atoms and distances in Å follow each position.
Positions (direct):
La  0.0010  0.0000  0.2770  4 As 3.17, 1 La 3.24, 4 Tl 3.39
La  0.9990  0.0000  0.7230  4 As 3.17, 1 La 3.24, 4 Tl 3.39
Tl  0.5000  0.5000  0.0000  8 La 3.39, 2 As 3.63
As  0.5000  0.5000  0.5000  8 La 3.17

Properties
The formation energy is -4.0 eV/f.u. The value obtained for the density of states at the Fermi level is 1.93 states/eV per cell.